[1]
Material: CaErRe4
Method: DFT, GGA-PBE
State: optimized geometry

```
6
Lattice="0.000 3.822 3.822 3.822 0.000 3.822 3.822 3.822 0.000" Properties=species:S:1:pos:R:3 pbc="T T T"
Ca 0.000 0.000 0.000
Er 1.911 1.911 1.911
Re 4.778 2.866 2.866
Re 2.866 4.778 2.866
Re 2.866 2.866 4.778
Re 4.778 4.778 4.778
```

Computed properties:
VASP energy: -9.402 eV per atom
Formation energy from the elements: -0.1 eV/f.u.
Calculated volume: 112 Å³/f.u.
ρ: 14.16 g/cm3

=====

[2]
Material: Sm5Ho3Hg2
Method: DFT, GGA-PBE
State: optimized geometry

```
20
Lattice="-5.781 8.152 3.403 5.781 -8.152 3.403 5.781 8.152 -3.403" Properties=species:S:1:pos:R:3 pbc="T T T"
Sm 5.781 5.010 -1.702
Sm 2.667 0.953 0.000
Sm 0.000 0.000 1.702
Sm 2.667 -0.953 3.403
Sm 0.000 3.142 1.702
Sm 5.781 5.010 1.702
Sm 3.114 9.105 0.000
Sm 0.000 0.000 5.105
Sm 3.114 7.199 3.403
Sm 0.000 3.142 5.105
Ho 8.361 2.799 0.000
Ho 5.781 0.000 1.702
Ho 2.580 5.353 0.000
Ho 3.201 2.799 3.403
Ho 0.000 8.152 1.702
Ho -2.580 5.353 3.403
Hg 5.175 2.561 0.000
Hg 5.175 -2.561 3.403
Hg 0.606 10.713 0.000
Hg 0.606 5.591 3.403
```

Computed properties:
VASP energy: -3.734 eV per atom
Formation energy from the elements: 0.6 eV/f.u.
Calculated volume: 321 Å³/f.u.
ρ: 8.53 g/cm3

=====

[3]
Material: LuTaC
Method: DFT, GGA-PBE
State: optimized geometry

```
3
Lattice="3.263 0.000 0.000 -1.631 2.825 0.000 0.000 0.000 5.381" Properties=species:S:1:pos:R:3 pbc="T T T"
Lu 0.000 0.000 0.000
Ta 0.000 1.884 2.789
C 1.631 0.942 3.870
```

Computed properties:
VASP energy: -8.869 eV per atom
Formation energy from the elements: -1.0 eV/f.u.
Calculated volume: 50 Å³/f.u.
ρ: 12.32 g/cm3

=====

[4]
Material: AcGaSbPb
Method: DFT, GGA-PBE
State: optimized geometry

```
4
Lattice="0.000 3.934 3.934 3.934 0.000 3.934 3.934 3.934 0.000" Properties=species:S:1:pos:R:3 pbc="T T T"
Ac 0.000 0.000 0.000
Ga 1.967 1.967 1.967
Sb 5.901 5.901 5.901
Pb 3.934 3.934 3.934
```

Computed properties:
VASP energy: -4.074 eV per atom
Calculated volume: 122 Å³/f.u.
Raw formation energy: -332 meV/atom
ρ: 8.53 g/cm3

=====

[5]
Material: NdTlAuSe2
Method: DFT, GGA-PBE
State: optimized geometry

```
10
Lattice="7.324 0.000 0.000 0.000 5.298 0.000 -1.796 0.000 7.954" Properties=species:S:1:pos:R:3 pbc="T T T"
Nd -0.449 0.016 1.988
Nd -1.347 5.283 5.965
Tl 2.316 1.721 5.965
Tl 3.213 3.577 1.988
Au 0.000 2.649 0.000
Au -0.898 2.649 3.977
Se 1.836 0.953 0.402
Se 0.938 4.345 4.379
Se 4.590 0.953 3.575
Se 3.693 4.345 7.552
```

Computed properties:
VASP energy: -4.283 eV per atom
Calculated volume: 154 Å³/f.u.
Raw formation energy: -807 meV/atom
ρ: 7.57 g/cm3

=====

[6]
Material: AcGe3IrRu
Method: DFT, GGA-PBE
State: optimized geometry

```
12
Lattice="3.327 -6.353 0.000 3.327 6.353 0.000 0.000 0.000 6.274" Properties=species:S:1:pos:R:3 pbc="T T T"
Ac 3.327 3.522 4.706
Ac 3.327 -3.522 1.569
Ge 3.327 3.627 1.569
Ge 1.904 0.000 0.000
Ge 1.904 0.000 3.137
Ge 4.750 0.000 0.000
Ge 4.750 0.000 3.137
Ge 3.327 -3.627 4.706
Ir 3.327 1.314 1.569
Ir 3.327 -1.314 4.706
Ru 3.327 5.941 1.569
Ru 3.327 -5.941 4.706
```

Computed properties:
VASP energy: -6.395 eV per atom
Formation energy from the elements: -2.3 eV/f.u.
Calculated volume: 133 Å³/f.u.
ρ: 9.24 g/cm3

=====

[7]
Material: Rb5Br2Cl3
Method: DFT, GGA-PBE
State: optimized geometry

```
10
Lattice="8.644 -2.346 0.000 8.644 2.346 0.000 -7.377 0.000 10.039" Properties=species:S:1:pos:R:3 pbc="T T T"
Rb 0.000 0.000 0.000
Rb -1.431 0.000 4.130
Rb 3.698 0.000 1.937
Rb 6.213 0.000 8.101
Rb 11.341 0.000 5.908
Br 0.275 0.000 7.322
Br 9.636 0.000 2.717
Cl -4.493 0.000 8.790
Cl 4.955 0.000 5.019
Cl 14.403 0.000 1.248
```

Computed properties:
VASP energy: -3.202 eV per atom
Calculated volume: 407 Å³/f.u.
Raw formation energy: -1829 meV/atom
ρ: 2.83 g/cm3

=====

[8]
Material: GdScTc
Method: DFT, GGA-PBE
State: optimized geometry

```
3
Lattice="-1.695 1.695 5.910 1.695 -1.695 5.910 1.695 1.695 -5.910" Properties=species:S:1:pos:R:3 pbc="T T T"
Gd 0.000 0.000 0.000
Sc 0.000 0.000 3.147
Tc 0.000 0.000 7.641
```

Computed properties:
VASP energy: -10.347 eV per atom
Formation energy from the elements: -0.3 eV/f.u.
Calculated volume: 68 Å³/f.u.
ρ: 7.34 g/cm3

=====

[9]
Material: MgSbRh2
Method: DFT, GGA-PBE
State: optimized geometry

```
4
Lattice="-2.134 2.134 3.529 2.134 -2.134 3.529 2.134 2.134 -3.529" Properties=species:S:1:pos:R:3 pbc="T T T"
Mg 0.000 0.000 0.000
Sb 0.000 0.000 3.529
Rh 2.134 0.000 1.765
Rh 0.000 2.134 1.765
```

Computed properties:
VASP energy: -5.660 eV per atom
Calculated volume: 64 Å³/f.u.
Raw formation energy: -555 meV/atom
ρ: 9.09 g/cm3

=====

[10]
Material: PuScPtRh
Method: DFT, GGA-PBE
State: optimized geometry

```
4
Lattice="0.000 3.377 3.377 3.377 0.000 3.377 3.377 3.377 0.000" Properties=species:S:1:pos:R:3 pbc="T T T"
Pu 0.000 0.000 0.000
Sc 3.377 3.377 3.377
Pt 1.689 1.689 1.689
Rh 5.066 5.066 5.066
```

Computed properties:
VASP energy: -9.289 eV per atom
Formation energy from the elements: -3.1 eV/f.u.
Calculated volume: 77 Å³/f.u.
ρ: 12.65 g/cm3

=====

[11]
Material: CsReSe3
Method: DFT, GGA-PBE
State: optimized geometry

```
20
Lattice="7.564 0.000 0.000 0.000 6.405 0.000 -1.605 0.000 13.675" Properties=species:S:1:pos:R:3 pbc="T T T"
Cs 0.609 1.353 2.238
Cs -0.194 1.849 9.075
Cs 6.153 4.556 4.600
Cs 5.350 5.051 11.437
Re 3.292 4.480 0.197
Re 2.489 5.127 7.034
Re 3.470 1.278 6.641
Re 2.667 1.925 13.478
Se 1.073 4.551 0.985
Se 0.270 5.056 7.823
Se 1.062 0.341 12.604
Se 1.865 2.861 5.766
Se 1.939 3.542 11.717
Se 2.741 6.065 4.879
Se 3.217 0.340 8.795
Se 4.020 2.862 1.958
Se 4.094 3.543 7.909
Se 4.897 6.064 1.071
Se 5.688 1.349 5.852
Se 4.885 1.854 12.690
```

Computed properties:
VASP energy: -5.280 eV per atom
Calculated volume: 166 Å³/f.u.
E above lowest polymorph: 0 meV/atom
Raw formation energy: -529 meV/atom
ρ: 5.57 g/cm3

=====

[12]
Material: AcPu2Hg3
Method: DFT, GGA-PBE
State: optimized geometry

```
6
Lattice="3.931 0.000 0.000 0.000 3.931 0.000 0.000 0.000 11.171" Properties=species:S:1:pos:R:3 pbc="T T T"
Ac 0.000 0.000 0.000
Pu 0.000 0.000 3.848
Pu 0.000 0.000 7.323
Hg 1.965 1.965 2.064
Hg 1.965 1.965 5.586
Hg 1.965 1.965 9.107
```

Computed properties:
VASP energy: -5.822 eV per atom
Formation energy from the elements: -1.3 eV/f.u.
Calculated volume: 173 Å³/f.u.
ρ: 12.67 g/cm3

=====

[13]
Material: TlIrSe2
Method: DFT, GGA-PBE
State: optimized geometry

```
4
Lattice="1.503 0.868 11.113 -1.503 0.868 11.113 0.000 -1.736 11.113" Properties=species:S:1:pos:R:3 pbc="T T T"
Tl 0.000 0.000 0.000
Ir 0.000 0.000 16.669
Se 0.000 0.000 14.279
Se 0.000 0.000 19.059
```

Computed properties:
VASP energy: -4.247 eV per atom
Calculated volume: 87 Å³/f.u.
E above lowest polymorph: 610 meV/atom
Raw formation energy: 302 meV/atom
ρ: 10.59 g/cm3

=====

[14]
Material: CoTc2
Method: DFT, GGA-PBE
State: optimized geometry

```
9
Lattice="7.138 0.000 0.000 -3.569 6.182 0.000 0.000 0.000 2.686" Properties=species:S:1:pos:R:3 pbc="T T T"
Co 0.000 0.000 0.000
Co 0.000 4.121 1.343
Co 3.569 2.061 1.343
Tc -1.063 1.842 1.343
Tc -2.250 3.897 0.000
Tc 2.127 0.000 1.343
Tc 1.319 2.284 0.000
Tc 4.500 0.000 0.000
Tc 2.506 4.340 1.343
```

Computed properties:
VASP energy: -9.245 eV per atom
Formation energy from the elements: 0.1 eV/f.u.
Calculated volume: 40 Å³/f.u.
E above lowest polymorph: 22 meV/atom
ρ: 10.71 g/cm3

=====

[15]
Material: Sr2LaTlS
Method: DFT, GGA-PBE
State: optimized geometry

```
5
Lattice="6.909 0.000 0.000 0.000 6.909 0.000 0.000 0.000 5.285" Properties=species:S:1:pos:R:3 pbc="T T T"
Sr 0.000 3.454 0.000
Sr 3.454 0.000 0.000
La 0.000 0.000 0.000
Tl 3.454 3.454 2.643
S 0.000 0.000 2.643
```

Computed properties:
VASP energy: -2.945 eV per atom
Calculated volume: 252 Å³/f.u.
E above lowest polymorph: 866 meV/atom
Raw formation energy: 12 meV/atom
ρ: 3.62 g/cm3

=====

[16]
Material: IrI2N2
Method: DFT, GGA-PBE
State: optimized geometry

```
5
Lattice="3.906 0.000 0.000 0.000 3.906 0.000 0.000 0.000 8.709" Properties=species:S:1:pos:R:3 pbc="T T T"
Ir 0.000 0.000 0.000
I 1.953 1.953 0.000
I 1.953 1.953 4.354
N 0.000 1.953 4.354
N 1.953 0.000 4.354
```

Computed properties:
VASP energy: -3.474 eV per atom
Calculated volume: 133 Å³/f.u.
E above lowest polymorph: 991 meV/atom
Raw formation energy: 2249 meV/atom
ρ: 5.92 g/cm3

=====

[17]
Material: HPdN2
Method: DFT, GGA-PBE
State: optimized geometry

```
8
Lattice="-2.155 2.155 3.924 2.155 -2.155 3.924 2.155 2.155 -3.924" Properties=species:S:1:pos:R:3 pbc="T T T"
H 0.000 0.000 0.000
H 0.000 2.155 1.962
Pd 2.155 0.000 1.962
Pd 0.000 0.000 3.924
N 3.232 0.794 -0.981
N 0.794 1.077 0.981
N -1.077 1.360 2.943
N 1.360 1.077 4.905
```

Computed properties:
VASP energy: -4.753 eV per atom
Calculated volume: 36 Å³/f.u.
E above lowest polymorph: 701 meV/atom
ρ: 6.17 g/cm3

=====

[18]
Material: Ce4SiBi
Method: DFT, GGA-PBE
State: optimized geometry

```
12
Lattice="4.513 -6.403 0.000 4.513 6.403 0.000 -2.165 0.000 5.271" Properties=species:S:1:pos:R:3 pbc="T T T"
Ce 1.479 3.957 4.559
Ce 1.135 1.382 3.302
Ce 4.300 3.957 3.347
Ce 2.218 -1.382 0.666
Ce 4.643 1.382 4.605
Ce 2.562 -3.957 1.924
Ce 5.726 -1.382 1.969
Ce 5.382 -3.957 0.712
Si 3.972 6.224 1.318
Si 2.889 -6.224 3.953
Bi 3.972 1.397 1.318
Bi 2.889 -1.397 3.953
```

Computed properties:
VASP energy: -5.935 eV per atom
Calculated volume: 152 Å³/f.u.
Raw formation energy: -428 meV/atom
ρ: 8.69 g/cm3

=====

[19]
Material: BaC5
Method: DFT, GGA-PBE
State: optimized geometry

```
6
Lattice="4.791 -2.508 0.000 4.791 2.508 0.000 -0.619 0.000 4.386" Properties=species:S:1:pos:R:3 pbc="T T T"
Ba 0.000 0.000 0.000
C 2.667 0.000 1.139
C 3.769 0.000 1.809
C 4.908 0.000 2.527
C 6.192 0.000 2.166
C 7.442 0.000 1.840
```

Computed properties:
VASP energy: -7.146 eV per atom
Formation energy from the elements: 5.2 eV/f.u.
Calculated volume: 105 Å³/f.u.
E above lowest polymorph: 0 meV/atom
ρ: 3.11 g/cm3

=====

[20]
Material: La2Ho4Er
Method: DFT, GGA-PBE
State: optimized geometry

```
7
Lattice="2.914 -11.752 0.000 2.914 11.752 0.000 0.000 0.000 3.439" Properties=species:S:1:pos:R:3 pbc="T T T"
La 2.914 8.569 0.000
La 2.914 -8.569 0.000
Ho 2.914 4.977 0.000
Ho 2.914 1.864 1.719
Ho 2.914 -1.864 1.719
Ho 2.914 -4.977 0.000
Er 0.000 0.000 1.719
```

Computed properties:
VASP energy: -4.446 eV per atom
Formation energy from the elements: 1.6 eV/f.u.
Calculated volume: 236 Å³/f.u.
E above lowest polymorph: 0 meV/atom
ρ: 7.79 g/cm3